DFT (GGA+U) results for crystalline Li2VP2O7 at its relaxed geometry.

Summary:
Space group: No. 15
VASP energy in eV/atom: -6.944
Polymorph energy (0 for the lowest one) in eV/f.u.: 0.50
Spin magnetization in μB per cell: 6.000

abc: 8.174 8.174 9.069
angles: 113.73 113.73 36.11
Fractional positions:
Li (0.043, 0.339, 0.055)
Li (0.339, 0.043, 0.555)
Li (0.661, 0.957, 0.445)
Li (0.957, 0.661, 0.945)
V (0.000, 0.000, 0.000)
V (0.000, 0.000, 0.500)
P (0.257, 0.535, 0.683)
P (0.465, 0.743, 0.817)
P (0.535, 0.257, 0.183)
P (0.743, 0.465, 0.317)
O (0.047, 0.749, 0.561)
O (0.121, 0.658, 0.831)
O (0.249, 0.397, 0.106)
O (0.251, 0.953, 0.939)
O (0.342, 0.879, 0.669)
O (0.397, 0.249, 0.606)
O (0.491, 0.509, 0.250)
O (0.509, 0.491, 0.750)
O (0.603, 0.751, 0.394)
O (0.658, 0.121, 0.331)
O (0.749, 0.047, 0.061)
O (0.751, 0.603, 0.894)
O (0.879, 0.342, 0.169)
O (0.953, 0.251, 0.439)